No. 1
{
  "formula": "Er3PtAu",
  "functional": "GGA-PBE",
  "state": "optimized geometry",
  "cell": [[-1.022, -1.808, 3.582], [6.461, -2.884, 0.387], [2.875, 7.025, 4.366]],
  "species": ["Pt", "Er", "Au", "Er", "Pt", "Au", "Er", "Er", "Er", "Er"],
  "frac_coords": [[0.250, 0.250, 0.596], [0.250, 0.250, 0.941], [0.250, 0.750, 0.832], [0.250, 0.007, 0.328], [0.750, 0.750, 0.404], [0.750, 0.250, 0.168], [0.750, 0.750, 0.059], [0.250, 0.493, 0.328], [0.750, 0.993, 0.672], [0.750, 0.507, 0.672]],
  "formation_energy_ev_per_fu": -4.28
}

No. 2
{
  "formula": "NaCoPbCl6",
  "functional": "GGA-PBE",
  "state": "optimized geometry",
  "cell": [[6.620, 0.000, 0.000], [3.311, 5.733, 0.000], [0.000, 0.000, 5.995]],
  "species": ["Cl", "Cl", "Pb", "Co", "Na", "Cl", "Cl", "Cl", "Cl"],
  "frac_coords": [[0.612, 0.338, 0.721], [0.051, 0.338, 0.279], [0.000, 0.000, 0.000], [0.333, 0.333, 0.500], [0.667, 0.667, 0.500], [0.338, 0.612, 0.279], [0.051, 0.612, 0.721], [0.338, 0.051, 0.721], [0.612, 0.051, 0.279]],
  "final_energy_ev_per_fu": -31.90
}

No. 3
{
  "formula": "K2Bi2Au",
  "functional": "GGA-PBE",
  "state": "optimized geometry",
  "cell": [[-2.339, -1.592, -4.046], [-1.363, -4.094, 2.399], [-8.241, 0.646, 1.498]],
  "species": ["Au", "K", "Bi", "K", "Bi"],
  "frac_coords": [[0.000, 0.000, 0.000], [0.250, 0.750, 0.500], [0.590, 0.590, 0.820], [0.750, 0.250, 0.500], [0.410, 0.410, 0.180]],
  "formation_energy_ev_per_fu": 1.79
}